No. 1
This record from the Alexandria database describes a relaxed structure of Rb3Au2. The functional is PBE-GGA.

N(E_F)	1.84	states/eV/f.u.
calculated formation energy	-1.169	eV/f.u.
magnetization	0.000	μB per formula unit

Cell: 4.2561 4.2561 24.9961 Å, 90.00 90.00 90.00°
Last column: nearest neighbours and their distance in Å.
Positions (direct):
Rb (0.0000, 0.0000, 0.0000)  8 Au 3.68, 2 Rb 4.02
Rb (0.0000, 0.0000, 0.1606)  4 Au 3.56
Rb (0.0000, 0.0000, 0.8394)  4 Au 3.56
Rb (0.5000, 0.5000, 0.3394)  4 Au 3.56
Rb (0.5000, 0.5000, 0.5000)  8 Au 3.68, 2 Rb 4.02
Rb (0.5000, 0.5000, 0.6606)  4 Au 3.56
Au (0.0000, 0.0000, 0.4153)  8 Rb 3.56-3.68
Au (0.0000, 0.0000, 0.5847)  8 Rb 3.56-3.68
Au (0.5000, 0.5000, 0.0847)  8 Rb 3.56-3.68
Au (0.5000, 0.5000, 0.9153)  8 Rb 3.56-3.68

=====

No. 2
This record from the Alexandria database describes a relaxed structure of RbAu5. The functional is PBE-GGA.

N(E_F)	0.99	states/eV/f.u.
calculated formation energy	-0.386	eV/f.u.
magnetization	0.000	μB per formula unit

Cell: 5.6053 4.5615 5.8054 Å, 90.00 90.24 90.00°
Last column: nearest neighbours and their distance in Å.
Positions (direct):
Rb (0.0000, 0.0000, 0.0000)  4 Au 3.26
Au (0.0000, 0.5000, 0.5000)  4 Au 2.72
Au (0.2632, 0.0000, 0.5010)  4 Au 2.65-2.95
Au (0.5001, 0.5000, 0.2425)  6 Au 2.82-3.04
Au (0.4999, 0.5000, 0.7575)  6 Au 2.82-3.04
Au (0.7368, 0.0000, 0.4990)  4 Au 2.65-2.95

=====

No. 3
This record from the Alexandria database describes a relaxed structure of Rb8Au5. The functional is PBE-GGA.

N(E_F)	7.24	states/eV/f.u.
calculated formation energy	-2.669	eV/f.u.
magnetization	0.000	μB per formula unit

Cell: 9.7058 9.7058 11.8731 Å, 126.82 126.82 60.79°
Last column: nearest neighbours and their distance in Å.
Positions (direct):
Rb (0.0256, 0.0256, 0.3206)  4 Au 3.49-3.52
Rb (0.0272, 0.5465, 0.8321)  4 Au 3.48-3.52
Rb (0.4535, 0.9728, 0.1679)  4 Au 3.48-3.52
Rb (0.4576, 0.4576, 0.6649)  3 Au 3.46-3.47
Rb (0.5424, 0.5424, 0.3351)  3 Au 3.46-3.47
Rb (0.5465, 0.0272, 0.8321)  4 Au 3.48-3.52
Rb (0.9728, 0.4535, 0.1679)  4 Au 3.48-3.52
Rb (0.9744, 0.9744, 0.6794)  4 Au 3.49-3.52
Au (0.0000, 0.0000, 0.0000)  6 Rb 3.52
Au (0.2551, 0.7449, 0.5000)  6 Rb 3.47-3.51
Au (0.2607, 0.2607, 0.0038)  6 Rb 3.46-3.49
Au (0.7393, 0.7393, 0.9962)  6 Rb 3.46-3.49
Au (0.7449, 0.2551, 0.5000)  6 Rb 3.47-3.51

=====

No. 4
This record from the Alexandria database describes a relaxed structure of RbAu6. The functional is PBE-GGA.

N(E_F)	1.29	states/eV/f.u.
calculated formation energy	1.104	eV/f.u.
magnetization	0.000	μB per formula unit

Cell: 7.5869 7.5869 7.5869 Å, 90.00 90.00 90.00°
Last column: nearest neighbours and their distance in Å.
Positions (direct):
Rb (0.0000, 0.0000, 0.0000)  24 Au 4.24
Rb (0.5000, 0.5000, 0.5000)  24 Au 4.24
Au (0.0000, 0.2500, 0.5000)  4 Au 2.68
Au (0.0000, 0.5000, 0.2500)  4 Au 2.68
Au (0.0000, 0.5000, 0.7500)  4 Au 2.68
Au (0.0000, 0.7500, 0.5000)  4 Au 2.68
Au (0.2500, 0.0000, 0.5000)  4 Au 2.68
Au (0.2500, 0.5000, 0.0000)  4 Au 2.68
Au (0.5000, 0.0000, 0.2500)  4 Au 2.68
Au (0.5000, 0.0000, 0.7500)  4 Au 2.68
Au (0.5000, 0.2500, 0.0000)  4 Au 2.68
Au (0.5000, 0.7500, 0.0000)  4 Au 2.68
Au (0.7500, 0.0000, 0.5000)  4 Au 2.68
Au (0.7500, 0.5000, 0.0000)  4 Au 2.68

=====

No. 5
This record from the Alexandria database describes a relaxed structure of Rb3Au4. The functional is PBE-GGA.

N(E_F)	2.36	states/eV/f.u.
calculated formation energy	-2.082	eV/f.u.
magnetization	0.000	μB per formula unit

Cell: 6.5076 6.5076 15.1176 Å, 90.00 90.00 134.47°
Last column: nearest neighbours and their distance in Å.
Positions (direct):
Rb (0.0361, 0.9639, 0.7500)  2 Au 3.35
Rb (0.2650, 0.7350, 0.1023)  7 Au 3.49-3.65
Rb (0.2650, 0.7350, 0.3977)  7 Au 3.49-3.65
Rb (0.7350, 0.2650, 0.6023)  7 Au 3.49-3.65
Rb (0.7350, 0.2650, 0.8977)  7 Au 3.49-3.65
Rb (0.9639, 0.0361, 0.2500)  2 Au 3.35
Au (0.0000, 0.0000, 0.0000)  4 Au 2.89
Au (0.0000, 0.0000, 0.5000)  4 Au 2.89
Au (0.3517, 0.6483, 0.7500)  2 Au 2.78
Au (0.4422, 0.5578, 0.5811)  4 Au 2.78-2.89
Au (0.4422, 0.5578, 0.9189)  4 Au 2.78-2.89
Au (0.5578, 0.4422, 0.0811)  4 Au 2.78-2.89
Au (0.5578, 0.4422, 0.4189)  4 Au 2.78-2.89
Au (0.6483, 0.3517, 0.2500)  2 Au 2.78

=====

No. 6
This record from the Alexandria database describes a relaxed structure of Rb5Au6. The functional is PBE-GGA.

N(E_F)	2.20	states/eV/f.u.
calculated formation energy	-3.104	eV/f.u.
magnetization	0.000	μB per formula unit

Cell: 16.4780 16.4780 5.0027 Å, 90.00 90.00 162.96°
Last column: nearest neighbours and their distance in Å.
Positions (direct):
Rb (0.0000, 0.0000, 0.0000)  12 Au 3.66-3.75
Rb (0.1966, 0.8034, 0.5000)  7 Au 3.58-3.74
Rb (0.3848, 0.6152, 0.0000)  7 Au 3.47-3.66
Rb (0.6152, 0.3848, 0.0000)  7 Au 3.47-3.66
Rb (0.8034, 0.1966, 0.5000)  7 Au 3.58-3.74
Au (0.0819, 0.9181, 0.5000)  2 Au 2.77
Au (0.2750, 0.7250, 0.0000)  2 Au 2.93
Au (0.4585, 0.5415, 0.5000)  3 Au 2.71-2.77
Au (0.5415, 0.4585, 0.5000)  3 Au 2.71-2.77
Au (0.7250, 0.2750, 0.0000)  2 Au 2.93
Au (0.9181, 0.0819, 0.5000)  2 Au 2.77

=====

No. 7
This record from the Alexandria database describes a relaxed structure of RbAu13. The functional is PBE-GGA.

N(E_F)	4.06	states/eV/f.u.
calculated formation energy	-0.776	eV/f.u.
magnetization	0.000	μB per formula unit

Cell: 9.4075 9.4075 9.4075 Å, 60.00 60.00 60.00°
Last column: nearest neighbours and their distance in Å.
Positions (direct):
Rb (0.2500, 0.2500, 0.2500)  24 Au 3.86
Rb (0.7500, 0.7500, 0.7500)  24 Au 3.86
Au (0.0000, 0.0000, 0.0000)  12 Au 2.89
Au (0.0628, 0.3012, 0.6988)  9 Au 2.77-3.01
Au (0.0628, 0.6988, 0.9372)  9 Au 2.77-3.01
Au (0.0628, 0.9372, 0.3012)  9 Au 2.77-3.01
Au (0.1988, 0.4372, 0.8012)  9 Au 2.77-3.01
Au (0.1988, 0.5628, 0.4372)  9 Au 2.77-3.01
Au (0.1988, 0.8012, 0.5628)  9 Au 2.77-3.01
Au (0.3012, 0.0628, 0.9372)  9 Au 2.77-3.01
Au (0.3012, 0.6988, 0.0628)  9 Au 2.77-3.01
Au (0.3012, 0.9372, 0.6988)  9 Au 2.77-3.01
Au (0.4372, 0.1988, 0.5628)  9 Au 2.77-3.01
Au (0.4372, 0.5628, 0.8012)  9 Au 2.77-3.01
Au (0.4372, 0.8012, 0.1988)  9 Au 2.77-3.01
Au (0.5000, 0.5000, 0.5000)  12 Au 2.89
Au (0.5628, 0.1988, 0.8012)  9 Au 2.77-3.01
Au (0.5628, 0.4372, 0.1988)  9 Au 2.77-3.01
Au (0.5628, 0.8012, 0.4372)  9 Au 2.77-3.01
Au (0.6988, 0.0628, 0.3012)  9 Au 2.77-3.01
Au (0.6988, 0.3012, 0.9372)  9 Au 2.77-3.01
Au (0.6988, 0.9372, 0.0628)  9 Au 2.77-3.01
Au (0.8012, 0.1988, 0.4372)  9 Au 2.77-3.01
Au (0.8012, 0.4372, 0.5628)  9 Au 2.77-3.01
Au (0.8012, 0.5628, 0.1988)  9 Au 2.77-3.01
Au (0.9372, 0.0628, 0.6988)  9 Au 2.77-3.01
Au (0.9372, 0.3012, 0.0628)  9 Au 2.77-3.01
Au (0.9372, 0.6988, 0.3012)  9 Au 2.77-3.01

=====

No. 8
This record from the Alexandria database describes a relaxed structure of RbAu5. The functional is PBE-GGA.

N(E_F)	1.33	states/eV/f.u.
calculated formation energy	0.397	eV/f.u.
magnetization	0.000	μB per formula unit

Cell: 5.4682 16.1253 3.0104 Å, 90.00 90.00 90.00°
Last column: nearest neighbours and their distance in Å.
Positions (direct):
Rb (0.0000, 0.0000, 0.0000)  2 Rb 3.01, 4 Au 3.12
Rb (0.5000, 0.5000, 0.0000)  2 Rb 3.01, 4 Au 3.12
Au (0.0000, 0.2050, 0.5000)  6 Au 2.83-3.09
Au (0.0000, 0.3533, 0.0000)  6 Au 2.80-3.01
Au (0.0000, 0.5000, 0.5000)  6 Au 2.80-3.01, 4 Rb 3.12
Au (0.0000, 0.6467, 0.0000)  6 Au 2.80-3.01
Au (0.0000, 0.7950, 0.5000)  6 Au 2.83-3.09
Au (0.5000, 0.0000, 0.5000)  6 Au 2.80-3.01, 4 Rb 3.12
Au (0.5000, 0.1467, 0.0000)  6 Au 2.80-3.01
Au (0.5000, 0.2950, 0.5000)  6 Au 2.83-3.09
Au (0.5000, 0.7050, 0.5000)  6 Au 2.83-3.09
Au (0.5000, 0.8533, 0.0000)  6 Au 2.80-3.01

=====

No. 9
This record from the Alexandria database describes a relaxed structure of Rb5Au. The functional is PBE-GGA.

N(E_F)	2.66	states/eV/f.u.
calculated formation energy	-0.404	eV/f.u.
magnetization	0.000	μB per formula unit

Cell: 12.6942 12.6942 12.6942 Å, 139.70 139.70 58.31°
Last column: nearest neighbours and their distance in Å.
Positions (direct):
Rb (0.0000, 0.0000, 0.0000)  8 Rb 4.83
Rb (0.0233, 0.5233, 0.8739)  2 Au 3.72, 1 Rb 4.14
Rb (0.1495, 0.0233, 0.5000)  2 Au 3.72, 1 Rb 4.14
Rb (0.3505, 0.8505, 0.8739)  2 Au 3.72, 1 Rb 4.14
Rb (0.4767, 0.3505, 0.5000)  2 Au 3.72, 1 Rb 4.14
Rb (0.5000, 0.5000, 0.0000)  8 Rb 4.83
Rb (0.5233, 0.6495, 0.5000)  2 Au 3.72, 1 Rb 4.14
Rb (0.6495, 0.1495, 0.1261)  2 Au 3.72, 1 Rb 4.14
Rb (0.8505, 0.9767, 0.5000)  2 Au 3.72, 1 Rb 4.14
Rb (0.9767, 0.4767, 0.1261)  2 Au 3.72, 1 Rb 4.14
Au (0.2500, 0.2500, 0.0000)  8 Rb 3.72
Au (0.7500, 0.7500, 0.0000)  8 Rb 3.72

=====

No. 10
This record from the Alexandria database describes a relaxed structure of Rb7Au5. The functional is PBE-GGA.

N(E_F)	6.65	states/eV/f.u.
calculated formation energy	-2.725	eV/f.u.
magnetization	0.000	μB per formula unit

Cell: 8.6427 8.6427 14.7722 Å, 104.46 104.46 32.10°
Last column: nearest neighbours and their distance in Å.
Positions (direct):
Rb (0.0000, 0.0000, 0.0000)  4 Au 3.46
Rb (0.1583, 0.1583, 0.5511)  5 Au 3.49-3.77
Rb (0.2437, 0.2437, 0.8537)  5 Au 3.50-3.72
Rb (0.4633, 0.4633, 0.7165)  4 Au 3.41-3.52
Rb (0.5367, 0.5367, 0.2835)  4 Au 3.41-3.52
Rb (0.7563, 0.7563, 0.1463)  5 Au 3.50-3.72
Rb (0.8417, 0.8417, 0.4489)  5 Au 3.49-3.77
Au (0.1963, 0.1963, 0.3103)  7 Rb 3.52-3.77
Au (0.3822, 0.3822, 0.0772)  6 Rb 3.44-3.50
Au (0.5000, 0.5000, 0.5000)  6 Rb 3.41-3.49
Au (0.6178, 0.6178, 0.9228)  6 Rb 3.44-3.50
Au (0.8037, 0.8037, 0.6898)  7 Rb 3.52-3.77

=====

No. 11
This record from the Alexandria database describes a relaxed structure of Rb7Au3. The functional is PBE-GGA.

N(E_F)	4.45	states/eV/f.u.
calculated formation energy	-1.540	eV/f.u.
magnetization	0.474	μB per formula unit

Cell: 10.9216 10.9216 10.9216 Å, 109.47 109.47 109.47°
Last column: nearest neighbours and their distance in Å.
Positions (direct):
Rb (0.0000, 0.0000, 0.3133)  3 Au 3.67, 4 Rb 3.95-4.08
Rb (0.0000, 0.0000, 0.6867)  3 Au 3.67, 4 Rb 3.95-4.08
Rb (0.0000, 0.3133, 0.0000)  3 Au 3.67, 4 Rb 3.95-4.08
Rb (0.0000, 0.6867, 0.0000)  3 Au 3.67, 4 Rb 3.95-4.08
Rb (0.2500, 0.5000, 0.7500)  4 Au 3.71
Rb (0.2500, 0.7500, 0.5000)  4 Au 3.71
Rb (0.3133, 0.0000, 0.0000)  3 Au 3.67, 4 Rb 3.95-4.08
Rb (0.3133, 0.3133, 0.3133)  3 Au 3.67, 4 Rb 3.95-4.08
Rb (0.5000, 0.2500, 0.7500)  4 Au 3.71
Rb (0.5000, 0.7500, 0.2500)  4 Au 3.71
Rb (0.6867, 0.0000, 0.0000)  3 Au 3.67, 4 Rb 3.95-4.08
Rb (0.6867, 0.6867, 0.6867)  3 Au 3.67, 4 Rb 3.95-4.08
Rb (0.7500, 0.2500, 0.5000)  4 Au 3.71
Rb (0.7500, 0.5000, 0.2500)  4 Au 3.71
Au (0.0000, 0.3454, 0.3454)  8 Rb 3.67-3.71, 1 Au 3.90
Au (0.0000, 0.6546, 0.6546)  8 Rb 3.67-3.71, 1 Au 3.90
Au (0.3454, 0.0000, 0.3454)  8 Rb 3.67-3.71, 1 Au 3.90
Au (0.3454, 0.3454, 0.0000)  8 Rb 3.67-3.71, 1 Au 3.90
Au (0.6546, 0.0000, 0.6546)  8 Rb 3.67-3.71, 1 Au 3.90
Au (0.6546, 0.6546, 0.0000)  8 Rb 3.67-3.71, 1 Au 3.90

=====

No. 12
This record from the Alexandria database describes a relaxed structure of RbRe3Au. The functional is PBE-GGA.

N(E_F)	5.20	states/eV/f.u.
calculated formation energy	14.479	eV/f.u.
magnetization	8.790	μB per formula unit

Cell: 5.1086 5.1086 5.1086 Å, 90.00 90.00 90.00°
Last column: nearest neighbours and their distance in Å.
Positions (direct):
Rb (0.0000, 0.0000, 0.0000)  12 Re 3.61
Re (0.0000, 0.5000, 0.5000)  2 Au 2.55
Re (0.5000, 0.0000, 0.5000)  2 Au 2.55
Re (0.5000, 0.5000, 0.0000)  2 Au 2.55
Au (0.5000, 0.5000, 0.5000)  6 Re 2.55